# 1
This record from Alexandria via LeMat-Bulk describes crystalline Th4Sn2Hg at its relaxed geometry. The functional is PBE-GGA.

Unit cell a=4.8295 b=4.8295 c=11.8560 alpha=78.25 beta=78.25 gamma=60.00
With the nearest neighbours (Å) after each atom.
Element x y z (fractional)
Th 0.1205 0.1205 0.6385  3 Hg 3.21, 3 Sn 3.26
Sn 0.4051 0.4051 0.7848  6 Th 3.11-3.26, 1 Hg 3.28
Sn 0.5949 0.5949 0.2152  6 Th 3.11-3.26, 1 Hg 3.28
Th 0.8795 0.8795 0.3615  3 Hg 3.21, 3 Sn 3.26
Th 0.6983 0.6983 0.9052  3 Sn 3.11
Hg 0.5000 0.5000 0.5000  6 Th 3.21, 2 Sn 3.28
Th 0.3017 0.3017 0.0948  3 Sn 3.11

**DOS(E_F)**: 1.27 states/eV/atom
**ΔH_f (0 K)**: -0.08 eV per atom
**SG**: No. 166
**Total moment**: 0.000 μB/atom
**Mass density**: 9746 kg/m³



# 2
This record from Alexandria via LeMat-Bulk describes crystalline Th5SnHg at its relaxed geometry. The functional is PBE-GGA.

Unit cell a=7.9875 b=7.9875 c=11.8246 alpha=51.71 beta=51.71 gamma=72.00
With the nearest neighbours (Å) after each atom.
Element x y z (fractional)
Th 0.7006 0.6616 0.5985  3 Th 3.01-3.36, 2 Sn 3.18-3.23, 1 Hg 3.32
Th 0.5454 0.1913 0.6139  2 Hg 3.22-3.60, 3 Th 3.29-3.55, 1 Sn 3.40
Hg 0.0000 0.0000 0.5000  8 Th 3.22-3.60, 2 Sn 3.39
Th 0.1760 0.8240 0.7500  1 Sn 3.31, 8 Th 3.36-3.68, 2 Hg 3.39
Sn 0.8236 0.1764 0.7500  7 Th 3.18-3.40, 2 Hg 3.39
Th 0.8240 0.1760 0.2500  1 Sn 3.31, 8 Th 3.36-3.68, 2 Hg 3.39
Th 0.1913 0.5454 0.1139  2 Hg 3.22-3.60, 3 Th 3.29-3.55, 1 Sn 3.40
Th 0.6616 0.7006 0.0985  3 Th 3.01-3.36, 2 Sn 3.18-3.23, 1 Hg 3.32
Sn 0.1764 0.8236 0.2500  7 Th 3.18-3.40, 2 Hg 3.39
Th 0.2994 0.3384 0.4015  3 Th 3.01-3.36, 2 Sn 3.18-3.23, 1 Hg 3.32
Th 0.8087 0.4546 0.8861  2 Hg 3.22-3.60, 3 Th 3.29-3.55, 1 Sn 3.40
Th 0.4546 0.8087 0.3861  2 Hg 3.22-3.60, 3 Th 3.29-3.55, 1 Sn 3.40
Th 0.3384 0.2994 0.9015  3 Th 3.01-3.36, 2 Sn 3.18-3.23, 1 Hg 3.32
Hg 0.0000 0.0000 0.0000  8 Th 3.22-3.60, 2 Sn 3.39

**DOS(E_F)**: 1.44 states/eV/atom
**ΔH_f (0 K)**: 0.15 eV per atom
**SG**: No. 15
**Total moment**: 0.000 μB/atom
**Mass density**: 10651 kg/m³



# 3
This record from Alexandria via LeMat-Bulk describes crystalline Th7Sn2Hg2 at its relaxed geometry. The functional is PBE-GGA.

Unit cell a=6.6695 b=8.9884 c=6.6695 alpha=90.00 beta=117.18 gamma=90.00
With the nearest neighbours (Å) after each atom.
Element x y z (fractional)
Th 0.4998 0.2432 0.5002  2 Hg 3.12, 2 Sn 3.20, 4 Th 3.38
Th 0.5002 0.7568 0.4998  2 Hg 3.12, 2 Sn 3.20, 4 Th 3.38
Sn 0.2944 0.0000 0.7056  7 Th 3.20-3.35
Th 0.4997 0.3015 0.0002  2 Sn 3.26, 5 Th 3.38-3.57, 2 Hg 3.38
Hg 0.8023 0.5000 0.8023  1 Hg 2.75
Th 0.0000 0.0000 0.0000  2 Sn 3.35
Th 0.5003 0.6985 0.9998  2 Sn 3.26, 5 Th 3.38-3.57, 2 Hg 3.38
Sn 0.7056 0.0000 0.2944  7 Th 3.20-3.35
Th 0.0002 0.6985 0.4997  2 Sn 3.26, 5 Th 3.38-3.57, 2 Hg 3.38
Th 0.9998 0.3015 0.5003  2 Sn 3.26, 5 Th 3.38-3.57, 2 Hg 3.38
Hg 0.1977 0.5000 0.1977  1 Hg 2.75

**DOS(E_F)**: 1.41 states/eV/atom
**ΔH_f (0 K)**: 0.09 eV per atom
**SG**: No. 65
**Total moment**: 0.000 μB/atom
**Mass density**: 10564 kg/m³



# 4
This record from Alexandria via LeMat-Bulk describes crystalline ThSnHg at its relaxed geometry. The functional is PBE-GGA.

Unit cell a=4.5891 b=9.4653 c=7.4737 alpha=90.00 beta=90.00 gamma=90.00
With the nearest neighbours (Å) after each atom.
Element x y z (fractional)
Hg 0.7500 0.9078 0.6968  4 Sn 2.91-3.03
Sn 0.2500 0.4028 0.2083  4 Hg 2.91-3.03
Sn 0.7500 0.9028 0.2917  4 Hg 2.91-3.03
Th 0.7500 0.1873 0.0035  5 Sn 3.30-3.45, 5 Hg 3.33-3.50
Sn 0.2500 0.0972 0.7083  4 Hg 2.91-3.03
Th 0.2500 0.8127 0.9965  5 Sn 3.30-3.45, 5 Hg 3.33-3.50
Hg 0.7500 0.5922 0.1968  4 Sn 2.91-3.03
Th 0.2500 0.6873 0.4965  5 Sn 3.30-3.45, 5 Hg 3.33-3.50
Hg 0.2500 0.0922 0.3032  4 Sn 2.91-3.03
Hg 0.2500 0.4078 0.8032  4 Sn 2.91-3.03
Th 0.7500 0.3127 0.5035  5 Sn 3.30-3.45, 5 Hg 3.33-3.50
Sn 0.7500 0.5972 0.7917  4 Hg 2.91-3.03

**DOS(E_F)**: 0.36 states/eV/atom
**ΔH_f (0 K)**: -0.35 eV per atom
**SG**: No. 62
**Total moment**: 0.000 μB/atom
**Mass density**: 11281 kg/m³



# 5
This record from Alexandria via LeMat-Bulk describes crystalline ThSn2Hg2 at its relaxed geometry. The functional is PBE-GGA.

Unit cell a=4.6213 b=4.5449 c=12.7954 alpha=90.00 beta=100.40 gamma=90.00
With the nearest neighbours (Å) after each atom.
Element x y z (fractional)
Hg 0.4549 0.7500 0.9098  8 Hg 3.21-3.28, 2 Sn 3.35, 2 Th 3.45
Sn 0.1413 0.2500 0.2827  4 Th 3.25, 4 Hg 3.28-3.35, 4 Sn 3.54-3.59
Th 0.6483 0.7500 0.2967  8 Sn 3.25-3.44, 4 Hg 3.44-3.45
Hg 0.5451 0.2500 0.0902  8 Hg 3.21-3.28, 2 Sn 3.35, 2 Th 3.45
Hg 0.0473 0.7500 0.0946  8 Hg 3.24-3.29, 2 Sn 3.28, 2 Th 3.44
Hg 0.9527 0.2500 0.9054  8 Hg 3.24-3.29, 2 Sn 3.28, 2 Th 3.44
Sn 0.2494 0.7500 0.4988  8 Sn 3.24-3.59, 4 Th 3.43-3.44
Th 0.3517 0.2500 0.7033  8 Sn 3.25-3.44, 4 Hg 3.44-3.45
Sn 0.7506 0.2500 0.5012  8 Sn 3.24-3.59, 4 Th 3.43-3.44
Sn 0.8587 0.7500 0.7173  4 Th 3.25, 4 Hg 3.28-3.35, 4 Sn 3.54-3.59

**DOS(E_F)**: 0.54 states/eV/atom
**ΔH_f (0 K)**: -0.28 eV per atom
**SG**: No. 63
**Total moment**: 0.000 μB/atom
**Mass density**: 10939 kg/m³



# 6
This record from Alexandria via LeMat-Bulk describes crystalline ThSnHg at its relaxed geometry. The functional is PBE-GGA.

Unit cell a=4.4848 b=4.7218 c=8.1577 alpha=106.82 beta=90.00 gamma=90.00
With the nearest neighbours (Å) after each atom.
Element x y z (fractional)
Th 0.2500 0.0958 0.1916  6 Sn 3.27-3.55, 4 Hg 3.31-3.36
Th 0.7500 0.9042 0.8084  6 Sn 3.27-3.55, 4 Hg 3.31-3.36
Sn 0.7500 0.5743 0.1486  2 Sn 3.23, 6 Th 3.27-3.55, 2 Hg 3.48
Sn 0.2500 0.4257 0.8514  2 Sn 3.23, 6 Th 3.27-3.55, 2 Hg 3.48
Hg 0.7500 0.2557 0.5114  4 Hg 3.26, 4 Th 3.31-3.36, 2 Sn 3.48
Hg 0.2500 0.7443 0.4886  4 Hg 3.26, 4 Th 3.31-3.36, 2 Sn 3.48

**DOS(E_F)**: 0.77 states/eV/atom
**ΔH_f (0 K)**: -0.36 eV per atom
**SG**: No. 63
**Total moment**: 0.000 μB/atom
**Mass density**: 11073 kg/m³